A relaxed Ce4GeOs crystal. Source: the Alexandria database, functional PBE.

## Properties
relative energy among the computed polymorphs	0	meV/atom
spin magnetization	1.51	μB/f.u.
mass density	9.5	Mg/m³
space-group type	P2_1/m
ΔE_f	-189	kJ/mol of formula units

```
Ce4GeOs
1.0
0.125 5.179 -0.930
-5.300 -0.526 -3.642
-4.913 -2.568 7.520
Ce Ge Os
8 2 2
Cartesian
-6.495 -1.917 3.672
-1.259 4.233 0.879
-3.418 1.962 1.832
-6.670 0.123 1.116
-5.646 1.083 5.202
-3.593 4.002 -0.724
-8.829 -2.149 2.068
-4.442 1.002 -2.254
-1.672 1.313 -0.614
-8.415 0.772 3.562
-4.188 -0.092 3.250
-5.899 2.177 -0.303
```

***

A relaxed Ce3Ge2Os crystal. Source: the Alexandria database, functional PBE.

## Properties
relative energy among the computed polymorphs	148	meV/atom
spin magnetization	1.04	μB/f.u.
mass density	8.7	Mg/m³
space-group type	C2/c
ΔE_f	-263	kJ/mol of formula units

```
Ce3Ge2Os
1.0
-0.288 -8.378 0.635
1.804 -1.619 -5.510
5.168 -1.098 2.885
Ce Ge Os
6 4 2
Cartesian
4.235 -3.326 0.895
1.494 -4.576 -0.591
5.190 -6.519 -1.398
1.540 -8.736 0.202
5.144 -2.359 -2.192
2.449 -7.769 -2.884
3.285 -4.828 -3.109
4.581 -8.793 0.803
2.103 -2.302 -2.792
3.399 -6.267 1.120
4.800 -7.405 2.983
1.884 -3.690 -4.972
```

***

A relaxed CeGe2Os crystal. Source: the Alexandria database, functional PBE.

## Properties
spin magnetization	0.31	μB/f.u.
mass density	10.0	Mg/m³
space-group type	Immm
ΔE_f	-202	kJ/mol of formula units

```
CeGe2Os
1.0
4.219 0.000 -0.980
-1.004 7.942 -4.322
-0.016 -0.044 9.498
Ge Ce Os
8 4 4
Cartesian
2.904 0.309 2.932
2.586 2.830 1.561
0.252 0.621 1.083
-0.253 4.586 -1.088
3.451 3.312 5.284
0.612 5.068 2.636
2.947 7.277 3.113
0.294 7.589 1.264
2.276 5.622 0.229
1.851 2.045 -1.603
1.364 5.897 -3.699
0.922 2.276 3.968
-0.301 7.077 -1.295
2.996 4.799 3.327
0.202 3.099 0.870
3.499 0.821 5.492
```

***

A relaxed Ce4Ge5Os2 crystal. Source: the Alexandria database, functional PBE.

## Properties
spin magnetization	0.46	μB/f.u.
mass density	8.8	Mg/m³
space-group type	P2/m
ΔE_f	-554	kJ/mol of formula units

```
Ce4Ge5Os2
1.0
4.129 0.000 0.000
0.000 7.102 0.251
0.000 -0.396 8.363
Os Ge Ce
2 5 4
Cartesian
0.000 6.406 3.319
0.000 0.300 5.296
0.000 3.877 3.061
0.000 2.829 5.554
0.000 5.906 7.592
0.000 3.551 0.125
0.000 0.800 1.022
2.064 5.121 5.328
2.064 5.471 1.412
2.064 1.585 3.286
2.064 1.235 7.202
```

***

A relaxed CeGe2Os crystal. Source: the Alexandria database, functional PBE.

## Properties
spin magnetization	0.00	μB/f.u.
mass density	10.3	Mg/m³
space-group type	Pmmn
ΔE_f	-184	kJ/mol of formula units

```
CeGe2Os
1.0
-2.267 3.177 1.515
-5.600 -2.888 -2.326
-0.587 -2.680 4.743
Os Ge Ce
2 4 2
Cartesian
-2.888 -1.846 -0.451
-1.633 -0.689 4.788
-1.743 -2.868 3.408
-2.778 0.333 0.929
-5.291 -0.963 -0.114
-4.831 -4.461 2.125
-4.306 -1.552 2.596
-0.216 -0.984 1.741
```

***

A relaxed Ce7GeOs2 crystal. Source: the Alexandria database, functional PBE.

## Properties
spin magnetization	3.81	μB/f.u.
mass density	7.9	Mg/m³
space-group type	Cmmm
ΔE_f	-25	kJ/mol of formula units

```
Ce7GeOs2
1.0
5.039 0.000 0.000
0.000 7.913 0.504
0.000 -3.038 7.324
Ce Os Ge
7 2 1
Cartesian
2.520 5.156 5.647
2.520 2.437 3.914
2.520 2.082 0.710
2.520 2.793 7.118
0.000 -0.201 5.557
0.000 5.076 2.271
2.520 -0.281 2.181
2.520 0.248 5.277
2.520 4.626 2.551
0.000 0.000 0.000
```

***

A relaxed Ce3Ge8Os3 crystal. Source: the Alexandria database, functional PBE.

## Properties
spin magnetization	0.27	μB/f.u.
mass density	9.7	Mg/m³
space-group type	Immm
ΔE_f	-439	kJ/mol of formula units

```
Ce3Ge8Os3
1.0
4.232 0.000 0.000
2.116 7.949 -0.683
2.116 1.507 7.835
Ce Ge Os
3 8 3
Cartesian
4.232 7.763 5.871
4.232 4.728 3.576
4.232 1.693 1.281
2.116 2.426 3.546
2.116 4.073 1.369
4.232 7.818 1.938
6.347 7.030 3.606
4.232 3.993 6.995
4.232 1.638 5.214
4.232 5.463 0.156
6.347 5.384 5.783
2.116 2.809 6.113
2.116 0.000 0.000
2.116 6.647 1.039
```

***

A relaxed Ce8GeOs6 crystal. Source: the Alexandria database, functional PBE.

## Properties
spin magnetization	0.00	μB/f.u.
mass density	10.9	Mg/m³
space-group type	R-3
ΔE_f	-83	kJ/mol of formula units

```
Ce8GeOs6
1.0
-2.612 4.616 -4.700
-6.118 -3.548 -0.450
-2.934 3.925 5.119
Ce Os Ge
8 6 1
Cartesian
-6.096 -0.847 0.860
-4.509 2.836 -3.202
-5.568 5.840 -0.891
-7.156 2.157 3.170
-3.927 4.231 2.303
-8.846 3.786 -0.024
-2.819 1.207 -0.008
-7.738 0.761 -2.334
-6.464 4.032 1.282
-4.964 1.533 1.645
-4.073 3.601 -0.370
-7.591 1.392 0.339
-5.201 0.961 -1.313
-6.701 3.460 -1.676
0.000 0.000 0.000
```

***

A relaxed Ce8GeOs2 crystal. Source: the Alexandria database, functional PBE.

## Properties
relative energy among the computed polymorphs	0	meV/atom
spin magnetization	1.30	μB/f.u.
mass density	9.6	Mg/m³
space-group type	C2
ΔE_f	-231	kJ/mol of formula units

```
Ce8GeOs2
1.0
-0.090 5.110 -0.702
-0.203 -0.872 -6.328
-8.070 -2.217 3.796
Ce Ge Os
8 1 2
Cartesian
-0.903 2.716 -5.964
-3.825 3.302 -1.371
-3.141 0.313 -4.208
-2.344 0.692 -1.539
-7.455 -1.776 0.033
-6.149 0.535 -2.265
-7.453 0.977 1.120
-4.450 3.666 1.347
-7.353 -1.334 3.244
-1.963 3.026 -3.547
-4.936 0.880 0.073
```

***

A relaxed Ce2Ge5Os crystal. Source: the Alexandria database, functional PBE.

## Properties
spin magnetization	1.22	μB/f.u.
mass density	8.2	Mg/m³
space-group type	I4mm
ΔE_f	-278	kJ/mol of formula units

```
Ce2Ge5Os
1.0
-3.183 -4.485 -2.884
5.039 -1.368 3.362
-2.394 2.886 4.950
Ge Ce Os
5 2 1
Cartesian
0.722 0.415 2.271
-1.071 -2.124 0.677
2.914 -0.169 3.767
0.503 -0.860 4.660
-0.299 1.670 4.453
-2.166 -0.442 2.991
1.551 -2.569 2.198
2.644 1.518 8.311
```

***

A relaxed Ce3Ge4Os2 crystal. Source: the Alexandria database, functional PBE.

## Properties
relative energy among the computed polymorphs	0	meV/atom
spin magnetization	1.13	μB/f.u.
mass density	9.6	Mg/m³
space-group type	C2/m
ΔE_f	-499	kJ/mol of formula units

```
Ce3Ge4Os2
1.0
-0.906 4.259 -0.170
-3.248 -3.074 -3.858
-3.755 -0.504 7.398
Os Ce Ge
2 3 4
Cartesian
-4.678 -0.904 2.269
-3.230 1.586 1.102
0.000 0.000 0.000
-3.972 1.547 4.070
-3.937 -0.865 -0.700
-5.735 1.057 1.187
-2.174 -0.375 2.183
-2.285 1.696 -1.176
-5.623 -1.014 4.547
```

***

A relaxed Ce12Ge5Os2 crystal. Source: the Alexandria database, functional PBE.

## Properties
spin magnetization	9.56	μB/f.u.
mass density	7.8	Mg/m³
space-group type	C2/m
ΔE_f	-508	kJ/mol of formula units

```
Ce12Ge5Os2
1.0
7.311 0.000 0.000
-3.655 7.942 1.057
0.000 -1.643 8.719
Ge Ce Os
5 12 2
Cartesian
3.655 2.128 3.337
0.000 -0.822 4.359
0.000 4.036 2.677
0.000 4.171 6.438
3.655 2.263 7.099
3.655 7.155 2.534
-2.245 4.595 4.652
3.655 -0.895 6.376
5.261 2.595 0.892
1.605 3.703 8.884
1.410 1.703 5.124
5.901 1.703 5.124
0.000 7.193 3.399
2.245 4.595 4.652
-1.605 3.703 8.884
2.050 2.595 0.892
0.000 -0.856 7.242
5.116 0.000 0.000
2.195 0.000 0.000
```

***

The lowest ΔE_f belongs to which entry?
Ce4Ge5Os2